(1)
First-principles (SCAN) data for a crystal of In2TeBr relaxed with PBEsol, as listed in Alexandria via LeMat-Bulk.

Output
uncorrected formation energy: -0.286 eV/atom
electronic total energy: -31.16 eV/atom
energy above the lowest structure with this stoichiometry: 0.1228 eV/atom
size of the total moment: 0.000 μB/cell

abc: 7.0041 7.0041 7.0041
angles: 144.07 144.07 51.73
Atoms (fractional coordinates):
1 In 0.0000 0.0000 0.0000
2 In 0.7500 0.2500 0.5000
3 Te 0.5000 0.5000 0.0000
4 Br 0.2500 0.7500 0.5000

(2)
First-principles (SCAN) data for a crystal of FeCo3 relaxed with PBEsol, as listed in Alexandria via LeMat-Bulk.

Output
DFT formation energy: 2 kJ per mole of atoms
electronic total energy: -17.49 eV/atom
size of the total moment: 31.350 μB/cell

abc: 4.2742 8.0219 4.9096
angles: 90.00 90.00 90.00
Atoms (fractional coordinates):
1 Fe 0.0828 0.2500 0.1234
2 Fe 0.4172 0.7500 0.6234
3 Fe 0.5828 0.2500 0.3766
4 Fe 0.9172 0.7500 0.8766
5 Co 0.0848 0.2500 0.6242
6 Co 0.2443 0.5037 0.3740
7 Co 0.2443 0.9963 0.3740
8 Co 0.2557 0.0037 0.8740
9 Co 0.2557 0.4963 0.8740
10 Co 0.4152 0.7500 0.1242
11 Co 0.5848 0.2500 0.8758
12 Co 0.7443 0.5037 0.1260
13 Co 0.7443 0.9963 0.1260
14 Co 0.7557 0.0037 0.6260
15 Co 0.7557 0.4963 0.6260
16 Co 0.9152 0.7500 0.3758

(3)
First-principles (SCAN) data for a crystal of MgCu2O4 relaxed with PBEsol, as listed in Alexandria via LeMat-Bulk.

Output
uncorrected formation energy: -1.346 eV/atom
electronic total energy: -9.96 eV/atom
energy above the lowest structure with this stoichiometry: 0.0000 eV/atom
size of the total moment: 8.000 μB/cell

abc: 5.8749 5.8749 5.8749
angles: 60.00 60.00 60.00
Atoms (fractional coordinates):
1 Mg 0.1250 0.1250 0.1250
2 Mg 0.8750 0.8750 0.8750
3 Cu 0.0000 0.5000 0.5000
4 Cu 0.5000 0.0000 0.5000
5 Cu 0.5000 0.5000 0.0000
6 Cu 0.5000 0.5000 0.5000
7 O 0.2617 0.2617 0.2617
8 O 0.2617 0.2617 0.7149
9 O 0.2617 0.7149 0.2617
10 O 0.2851 0.7383 0.7383
11 O 0.7149 0.2617 0.2617
12 O 0.7383 0.2851 0.7383
13 O 0.7383 0.7383 0.2851
14 O 0.7383 0.7383 0.7383

(4)
First-principles (SCAN) data for a crystal of CsHfFeOs2 relaxed with PBEsol, as listed in Alexandria via LeMat-Bulk.

Output
DFT formation energy: 302 kJ per mole of atoms
electronic total energy: -49.34 eV/atom
size of the total moment: 2.809 μB/cell

abc: 4.8685 4.8685 4.4655
angles: 90.00 90.00 90.00
Atoms (fractional coordinates):
1 Cs 0.0000 0.0000 0.0000
2 Hf 0.5000 0.5000 0.5000
3 Fe 0.0000 0.0000 0.5000
4 Os 0.0000 0.5000 0.0000
5 Os 0.5000 0.0000 0.0000

(5)
First-principles (SCAN) data for a crystal of CsPSCl2 relaxed with PBEsol, as listed in Alexandria via LeMat-Bulk.

Output
uncorrected formation energy: 0.858 eV/atom
electronic total energy: -13.90 eV/atom
size of the total moment: 4.185 μB/cell

abc: 6.2060 6.2060 5.5889
angles: 90.00 90.00 90.00
Atoms (fractional coordinates):
1 Cs 0.0000 0.0000 0.0000
2 P 0.5000 0.5000 0.5000
3 S 0.0000 0.0000 0.5000
4 Cl 0.0000 0.5000 0.0000
5 Cl 0.5000 0.0000 0.0000

(6)
First-principles (SCAN) data for a crystal of CdAsIr2 relaxed with PBEsol, as listed in Alexandria via LeMat-Bulk.

Output
DFT formation energy: 15 kJ per mole of atoms
electronic total energy: -48.04 eV/atom
energy above the lowest structure with this stoichiometry: 0.0000 eV/atom
size of the total moment: 0.000 μB/cell

abc: 2.8819 2.8819 8.0211
angles: 90.00 90.00 90.00
Atoms (fractional coordinates):
1 Cd 0.0000 0.0000 0.0000
2 As 0.5000 0.5000 0.6676
3 Ir 0.0000 0.0000 0.4719
4 Ir 0.5000 0.5000 0.2420